# 1
This record from the Open Quantum Materials Database describes an optimized crystal structure of NbTlAg. The functional is PBE.

Properties
The total energy comes out at -4.21 eV per atom. The value obtained for the total magnetic moment is 3.74 μB/cell. As for the calculated volume: 22.91 Å³/atom.

a = 6.502 Å, b = 6.502 Å, c = 6.502 Å
α = 90.00°, β = 90.00°, γ = 90.00°
Fractional coordinates of all 12 atoms:
Nb: 0.000 0.000 0.000
Nb: 0.000 0.500 0.500
Nb: 0.500 0.000 0.500
Nb: 0.500 0.500 0.000
Tl: 0.250 0.250 0.750
Tl: 0.250 0.750 0.250
Tl: 0.750 0.250 0.250
Tl: 0.750 0.750 0.750
Ag: 0.000 0.000 0.500
Ag: 0.000 0.500 0.000
Ag: 0.500 0.000 0.000
Ag: 0.500 0.500 0.500

***

# 2
This record from the Open Quantum Materials Database describes an optimized crystal structure of ZrScNiSn. The functional is PBE.

Properties
The total energy comes out at -6.19 eV per atom. The value obtained for the total magnetic moment is 11.67 μB/cell. As for the calculated volume: 19.06 Å³/atom.

a = 6.732 Å, b = 6.732 Å, c = 6.732 Å
α = 90.00°, β = 90.00°, γ = 90.00°
Fractional coordinates of all 16 atoms:
Zr: 0.000 0.000 0.000
Zr: 0.000 0.500 0.500
Zr: 0.500 0.000 0.500
Zr: 0.500 0.500 0.000
Sc: 0.250 0.250 0.250
Sc: 0.250 0.750 0.750
Sc: 0.750 0.250 0.750
Sc: 0.750 0.750 0.250
Ni: 0.250 0.250 0.750
Ni: 0.250 0.750 0.250
Ni: 0.750 0.250 0.250
Ni: 0.750 0.750 0.750
Sn: 0.000 0.000 0.500
Sn: 0.000 0.500 0.000
Sn: 0.500 0.000 0.000
Sn: 0.500 0.500 0.500

***

# 3
This record from the Open Quantum Materials Database describes an optimized crystal structure of InCu15. The functional is PBE.

Properties
The total energy comes out at -3.59 eV per atom. The energy above the most stable polymorph in this dataset is 25.8 meV per atom. As for the calculated volume: 19.43 Å³/atom.

a = 4.388 Å, b = 4.392 Å, c = 34.085 Å
α = 90.02°, β = 90.04°, γ = 108.81°
Fractional coordinates of all 32 atoms:
In: 0.250 0.000 0.203
In: 0.750 0.000 0.797
Cu: 0.250 0.000 0.295
Cu: 0.250 0.000 0.370
Cu: 0.250 0.000 0.444
Cu: 0.250 0.000 0.519
Cu: 0.250 0.000 0.593
Cu: 0.250 0.000 0.669
Cu: 0.250 0.000 0.744
Cu: 0.250 0.500 0.256
Cu: 0.250 0.500 0.331
Cu: 0.250 0.500 0.407
Cu: 0.250 0.500 0.482
Cu: 0.250 0.500 0.556
Cu: 0.250 0.500 0.631
Cu: 0.250 0.500 0.706
Cu: 0.250 0.500 0.780
Cu: 0.750 0.000 0.256
Cu: 0.750 0.000 0.331
Cu: 0.750 0.000 0.407
Cu: 0.750 0.000 0.481
Cu: 0.750 0.000 0.556
Cu: 0.750 0.000 0.630
Cu: 0.750 0.000 0.705
Cu: 0.750 0.500 0.220
Cu: 0.750 0.500 0.294
Cu: 0.750 0.500 0.369
Cu: 0.750 0.500 0.444
Cu: 0.750 0.500 0.518
Cu: 0.750 0.500 0.593
Cu: 0.750 0.500 0.669
Cu: 0.750 0.500 0.744

***

# 4
This record from the Open Quantum Materials Database describes an optimized crystal structure of CsNb4Se5F. The functional is PBE.

Properties
The total energy comes out at -6.31 eV per atom. The value obtained for the total magnetic moment is 0.00 μB/cell. As for the calculated volume: 22.89 Å³/atom.

a = 5.009 Å, b = 5.009 Å, c = 10.038 Å
α = 90.00°, β = 90.00°, γ = 90.00°
Fractional coordinates of all 11 atoms:
Cs: 0.000 0.000 0.000
Nb: 0.000 0.500 0.500
Nb: 0.500 0.000 0.500
Nb: 0.500 0.500 0.319
Nb: 0.500 0.500 0.681
Se: 0.000 0.000 0.500
Se: 0.000 0.500 0.243
Se: 0.000 0.500 0.757
Se: 0.500 0.000 0.243
Se: 0.500 0.000 0.757
F: 0.500 0.500 0.000

***

# 5
This record from the Open Quantum Materials Database describes an optimized crystal structure of LuPa2. The functional is PBE.

Properties
The total energy comes out at -4.51 eV per atom. The formation energy comes out at 3.332 eV/atom. The value obtained for the total magnetic moment is 2.00 μB/cell. As for the calculated volume: 67.45 Å³/atom.

a = 8.303 Å, b = 8.303 Å, c = 8.303 Å
α = 60.00°, β = 60.00°, γ = 60.00°
Fractional coordinates of all 6 atoms:
Lu: 0.125 0.125 0.125
Lu: 0.875 0.875 0.875
Pa: 0.000 0.000 0.000
Pa: 0.000 0.000 0.500
Pa: 0.000 0.500 0.000
Pa: 0.500 0.000 0.000

***

# 6
This record from the Open Quantum Materials Database describes an optimized crystal structure of HfGaNi. The functional is PBE.

Properties
The total energy comes out at -5.97 eV per atom. The value obtained for the total magnetic moment is 0.03 μB/cell. As for the calculated volume: 18.80 Å³/atom.

a = 6.087 Å, b = 6.087 Å, c = 6.087 Å
α = 90.00°, β = 90.00°, γ = 90.00°
Fractional coordinates of all 12 atoms:
Hf: 0.000 0.000 0.000
Hf: 0.000 0.500 0.500
Hf: 0.500 0.000 0.500
Hf: 0.500 0.500 0.000
Ga: 0.250 0.250 0.750
Ga: 0.250 0.750 0.250
Ga: 0.750 0.250 0.250
Ga: 0.750 0.750 0.750
Ni: 0.250 0.250 0.250
Ni: 0.250 0.750 0.750
Ni: 0.750 0.250 0.750
Ni: 0.750 0.750 0.250